(1)
DFT (PBEsol) results for a geometry-optimized Cs2SbS structure.

abc: 6.048 6.048 6.048
angles: 60.00 60.00 60.00
Fractional coordinates of all 4 atoms:
Cs: 0.250 0.250 0.250
Cs: 0.750 0.750 0.750
Sb: 0.000 0.000 0.000
S: 0.500 0.500 0.500

Results
raw formation energy = -0.123 eV/atom
D(E_F) = 2.7 states/eV/cell
symmetry = Fm-3m (225)
E_tot = -2.8292 eV/atom

***

(2)
DFT (PBEsol) results for a geometry-optimized Cs2Sb4S7 structure.

abc: 10.924 12.264 11.526
angles: 90.00 100.29 90.00
Fractional coordinates of all 52 atoms:
Cs: 0.024 0.068 0.167
Cs: 0.024 0.432 0.667
Cs: 0.460 0.549 0.816
Cs: 0.460 0.951 0.316
Cs: 0.540 0.049 0.684
Cs: 0.540 0.451 0.184
Cs: 0.976 0.568 0.333
Cs: 0.976 0.932 0.833
Sb: 0.142 0.151 0.587
Sb: 0.142 0.349 0.087
Sb: 0.196 0.645 0.053
Sb: 0.196 0.855 0.553
Sb: 0.302 0.141 0.945
Sb: 0.302 0.359 0.445
Sb: 0.365 0.657 0.416
Sb: 0.365 0.843 0.916
Sb: 0.635 0.157 0.084
Sb: 0.635 0.343 0.584
Sb: 0.698 0.641 0.555
Sb: 0.698 0.859 0.055
Sb: 0.804 0.145 0.447
Sb: 0.804 0.355 0.947
Sb: 0.858 0.651 0.913
Sb: 0.858 0.849 0.413
S: 0.092 0.209 0.896
S: 0.092 0.291 0.396
S: 0.193 0.726 0.835
S: 0.193 0.774 0.335
S: 0.201 0.026 0.439
S: 0.201 0.474 0.939
S: 0.245 0.503 0.235
S: 0.245 0.997 0.735
S: 0.269 0.534 0.545
S: 0.269 0.966 0.045
S: 0.327 0.234 0.146
S: 0.327 0.266 0.646
S: 0.414 0.709 0.090
S: 0.414 0.791 0.590
S: 0.586 0.209 0.410
S: 0.586 0.291 0.910
S: 0.673 0.734 0.354
S: 0.673 0.766 0.854
S: 0.731 0.034 0.955
S: 0.731 0.466 0.455
S: 0.755 0.003 0.265
S: 0.755 0.497 0.765
S: 0.799 0.526 0.061
S: 0.799 0.974 0.561
S: 0.807 0.226 0.665
S: 0.807 0.274 0.165
S: 0.908 0.709 0.604
S: 0.908 0.791 0.104

Results
raw formation energy = -0.571 eV/atom
symmetry = P2_1/c (14)
E_tot = -4.4793 eV/atom

***

(3)
DFT (PBEsol) results for a geometry-optimized CsSe3S structure.

abc: 5.053 5.053 5.053
angles: 90.00 90.00 90.00
Fractional coordinates of all 5 atoms:
Cs: 0.000 0.000 0.000
Se: 0.000 0.500 0.500
Se: 0.500 0.000 0.500
Se: 0.500 0.500 0.000
S: 0.500 0.500 0.500

Results
raw formation energy = -0.067 eV/atom
D(E_F) = 4.8 states/eV/cell
symmetry = Pm-3m (221)
E_tot = -3.4428 eV/atom

***

| no. | size of the total moment (μB per formula unit) |
| --- | --- |
| 1 | 2.90 |
| 2 | 0.00 |
| 3 | 0.00 |